{
  "formula": "CoTcS2Cl",
  "functional": "PBE",
  "state": "relaxed",
  "raw_formation_energy_kj_per_mol_fu": 219,
  "dos_ef_per_ev_cell": 6.151,
  "space_group": "P4/mmm (123)",
  "m_tot_mub_per_fu": 2.9,
  "lattice_angstrom": [[-2.229, -3.233, 2.064], [3.681, -2.474, 0.100], [1.280, 2.093, 4.661]],
  "species": ["Cl", "S", "S", "Tc", "Co"],
  "frac_coords": [[0.500, 0.500, 0.500], [0.500, 0.000, 0.000], [0.000, 0.500, 0.000], [0.000, 0.000, 0.000], [0.000, 0.000, 0.500]]
}